The following is a DFT calculation (GGA-PBE) of Pu4Ge2H3 after structural relaxation.

Output
* E: -0.65098 Ry per atom
* energy above the lowest structure with this stoichiometry: 0.000 eV/atom

a = 7.8655 Å, b = 7.8655 Å, c = 7.1959 Å
α = 90.00°, β = 90.00°, γ = 137.00°
Closest atoms and distances in Å follow each position.
Fractional coordinates of all 18 atoms:
Pu 0.1981 0.8019 0.9478  4 H 2.44-2.61
Pu 0.2098 0.2902 0.7500  3 H 2.38-2.47
Pu 0.2902 0.2098 0.2500  3 H 2.38-2.47
Pu 0.3019 0.6981 0.4478  4 H 2.44-2.61
Pu 0.6981 0.3019 0.5522  4 H 2.44-2.61
Pu 0.7098 0.7902 0.7500  3 H 2.38-2.47
Pu 0.7902 0.7098 0.2500  3 H 2.38-2.47
Pu 0.8019 0.1981 0.0522  4 H 2.44-2.61
Ge 0.1151 0.8849 0.5791  8 Pu 2.89-3.13, 4 H 3.09-3.20
Ge 0.3849 0.6151 0.0791  8 Pu 2.89-3.13, 4 H 3.09-3.20
Ge 0.6151 0.3849 0.9209  8 Pu 2.89-3.13, 4 H 3.09-3.20
Ge 0.8849 0.1151 0.4209  8 Pu 2.89-3.13, 4 H 3.09-3.20
H 0.0000 0.0000 0.0000  4 Pu 2.38
H 0.0411 0.4589 0.7500  5 Pu 2.44-2.61
H 0.4589 0.0411 0.2500  5 Pu 2.44-2.61
H 0.5000 0.5000 0.5000  4 Pu 2.38
H 0.5411 0.9589 0.7500  5 Pu 2.44-2.61
H 0.9589 0.5411 0.2500  5 Pu 2.44-2.61



The following is a DFT calculation (GGA-PBE) of Y2Ni after structural relaxation.

Output
* energy relative to the elements: -0.21 eV per atom
* E: -0.47361 Ry per atom

a = 6.7459 Å, b = 6.7459 Å, c = 6.7459 Å
α = 90.00°, β = 90.00°, γ = 90.00°
Closest atoms and distances in Å follow each position.
Fractional coordinates of all 12 atoms:
Y 0.1624 0.1624 0.1624  3 Ni 2.75
Y 0.1624 0.3376 0.6624  3 Ni 2.75
Y 0.3376 0.6624 0.1624  3 Ni 2.75
Y 0.3376 0.8376 0.6624  3 Ni 2.75
Y 0.6624 0.1624 0.3376  3 Ni 2.75
Y 0.6624 0.3376 0.8376  3 Ni 2.75
Y 0.8376 0.6624 0.3376  3 Ni 2.75
Y 0.8376 0.8376 0.8376  3 Ni 2.75
Ni 0.0000 0.0000 0.5000  6 Y 2.75
Ni 0.0000 0.5000 0.0000  6 Y 2.75
Ni 0.5000 0.0000 0.0000  6 Y 2.75
Ni 0.5000 0.5000 0.5000  6 Y 2.75



The following is a DFT calculation (GGA-PBE) of AcPaSe2O after structural relaxation.

Output
* energy relative to the elements, uncorrected: -2189 meV per atom
* E: -0.53620 Ry per atom

a = 4.1288 Å, b = 4.1288 Å, c = 14.4610 Å
α = 90.00°, β = 90.00°, γ = 90.00°
Closest atoms and distances in Å follow each position.
Fractional coordinates of all 10 atoms:
Ac 0.2500 0.2500 0.0921  4 O 2.46
Ac 0.7500 0.7500 0.9079  4 O 2.46
Pa 0.2500 0.2500 0.6006  6 Se 2.72-3.00
Pa 0.7500 0.7500 0.3994  6 Se 2.72-3.00
Se 0.2500 0.2500 0.3930  5 Pa 2.92-3.00
Se 0.2500 0.2500 0.7886  1 Pa 2.72
Se 0.7500 0.7500 0.2114  1 Pa 2.72
Se 0.7500 0.7500 0.6070  5 Pa 2.92-3.00
O 0.2500 0.7500 0.0000  4 Ac 2.46
O 0.7500 0.2500 0.0000  4 Ac 2.46



The following is a DFT calculation (GGA-PBE) of Sr2ScZn after structural relaxation.

Output
* energy relative to the elements: 0.35 eV per atom
* E: -0.17553 Ry per atom

a = 9.2457 Å, b = 9.2457 Å, c = 6.5695 Å
α = 90.00°, β = 90.00°, γ = 90.00°
Closest atoms and distances in Å follow each position.
Fractional coordinates of all 16 atoms:
Sr 0.1925 0.2500 0.1250  2 Zn 3.03
Sr 0.2500 0.6925 0.3750  2 Zn 3.03
Sr 0.2500 0.8075 0.8750  2 Zn 3.03
Sr 0.3075 0.2500 0.6250  2 Zn 3.03
Sr 0.6925 0.7500 0.6250  2 Zn 3.03
Sr 0.7500 0.1925 0.8750  2 Zn 3.03
Sr 0.7500 0.3075 0.3750  2 Zn 3.03
Sr 0.8075 0.7500 0.1250  2 Zn 3.03
Sc 0.0000 0.0000 0.5000  2 Zn 3.28
Sc 0.0000 0.5000 0.7500  2 Zn 3.28
Sc 0.5000 0.0000 0.2500  2 Zn 3.28
Sc 0.5000 0.5000 0.0000  2 Zn 3.28
Zn 0.0000 0.0000 0.0000  4 Sr 3.03, 2 Sc 3.28
Zn 0.0000 0.5000 0.2500  4 Sr 3.03, 2 Sc 3.28
Zn 0.5000 0.0000 0.7500  4 Sr 3.03, 2 Sc 3.28
Zn 0.5000 0.5000 0.5000  4 Sr 3.03, 2 Sc 3.28



The following is a DFT calculation (GGA-PBE) of CaBi4Pd4 after structural relaxation.

Output
* energy relative to the elements: -0.33 eV per atom
* E: -0.33709 Ry per atom

a = 9.2009 Å, b = 9.2009 Å, c = 5.5898 Å
α = 90.00°, β = 90.00°, γ = 90.00°
Closest atoms and distances in Å follow each position.
Fractional coordinates of all 18 atoms:
Ca 0.2500 0.2500 0.2500  4 Pd 2.99
Ca 0.7500 0.7500 0.7500  4 Pd 2.99
Bi 0.0941 0.6337 0.1522  5 Pd 2.79-3.01
Bi 0.1337 0.9059 0.6522  5 Pd 2.79-3.01
Bi 0.3663 0.5941 0.6522  5 Pd 2.79-3.01
Bi 0.4059 0.8663 0.1522  5 Pd 2.79-3.01
Bi 0.5941 0.1337 0.8478  5 Pd 2.79-3.01
Bi 0.6337 0.4059 0.3478  5 Pd 2.79-3.01
Bi 0.8663 0.0941 0.3478  5 Pd 2.79-3.01
Bi 0.9059 0.3663 0.8478  5 Pd 2.79-3.01
Pd 0.0401 0.6175 0.6502  5 Bi 2.79-3.01, 1 Pd 2.83, 1 Ca 2.99
Pd 0.1175 0.9599 0.1502  5 Bi 2.79-3.01, 1 Pd 2.83, 1 Ca 2.99
Pd 0.3825 0.5401 0.1502  5 Bi 2.79-3.01, 1 Pd 2.83, 1 Ca 2.99
Pd 0.4599 0.8825 0.6502  5 Bi 2.79-3.01, 1 Pd 2.83, 1 Ca 2.99
Pd 0.5401 0.1175 0.3498  5 Bi 2.79-3.01, 1 Pd 2.83, 1 Ca 2.99
Pd 0.6175 0.4599 0.8498  5 Bi 2.79-3.01, 1 Pd 2.83, 1 Ca 2.99
Pd 0.8825 0.0401 0.8498  5 Bi 2.79-3.01, 1 Pd 2.83, 1 Ca 2.99
Pd 0.9599 0.3825 0.3498  5 Bi 2.79-3.01, 1 Pd 2.83, 1 Ca 2.99



The following is a DFT calculation (GGA-PBE) of AcSc2RuO8 after structural relaxation.

Output
* energy relative to the elements, uncorrected: -2313 meV per atom
* E: -0.57247 Ry per atom

a = 4.8686 Å, b = 6.8606 Å, c = 4.8791 Å
α = 90.00°, β = 90.66°, γ = 90.00°
Closest atoms and distances in Å follow each position.
Fractional coordinates of all 12 atoms:
Ac 0.0000 0.0000 0.0000  6 O 2.33-2.47
Sc 0.5000 0.2646 0.5000  6 O 2.10-2.19
Sc 0.5000 0.7354 0.5000  6 O 2.10-2.19
Ru 0.0000 0.5000 0.0000  6 O 1.91-1.99
O 0.1974 0.3018 0.1955  1 Ru 1.91, 1 Sc 2.10
O 0.1974 0.6982 0.1955  1 Ru 1.91, 1 Sc 2.10
O 0.2859 0.5000 0.7127  1 Ru 1.99, 2 Sc 2.19
O 0.3354 0.0000 0.6632  2 Sc 2.14, 1 O 2.27, 1 Ac 2.33
O 0.6646 0.0000 0.3368  2 Sc 2.14, 1 O 2.27, 1 Ac 2.33
O 0.7141 0.5000 0.2873  1 Ru 1.99, 2 Sc 2.19
O 0.8026 0.3018 0.8045  1 Ru 1.91, 1 Sc 2.10
O 0.8026 0.6982 0.8045  1 Ru 1.91, 1 Sc 2.10



The following is a DFT calculation (GGA-PBE) of CdSi2Tc after structural relaxation.

Output
* energy relative to the elements, uncorrected: 54 meV per atom
* E: -0.40264 Ry per atom

a = 8.2043 Å, b = 3.1399 Å, c = 5.2258 Å
α = 90.00°, β = 99.34°, γ = 90.00°
Closest atoms and distances in Å follow each position.
Fractional coordinates of all 8 atoms:
Cd 0.0000 0.0000 0.0000  6 Si 2.74-3.00, 4 Tc 3.05
Cd 0.5000 0.5000 0.0000  6 Si 2.74-3.00, 4 Tc 3.05
Si 0.2306 0.0000 0.6754  2 Si 2.47, 3 Tc 2.51-2.53, 1 Cd 2.74
Si 0.2694 0.5000 0.3246  2 Si 2.47, 3 Tc 2.51-2.53, 1 Cd 2.74
Si 0.7306 0.5000 0.6754  2 Si 2.47, 3 Tc 2.51-2.53, 1 Cd 2.74
Si 0.7694 0.0000 0.3246  2 Si 2.47, 3 Tc 2.51-2.53, 1 Cd 2.74
Tc 0.0000 0.5000 0.5000  6 Si 2.51-2.53
Tc 0.5000 0.0000 0.5000  6 Si 2.51-2.53



The following is a DFT calculation (GGA-PBE) of BaRePb2 after structural relaxation.

Output
* energy relative to the elements: 0.62 eV per atom
* E: -0.35497 Ry per atom
* energy above the lowest structure with this stoichiometry: 0.200 eV/atom

a = 3.5814 Å, b = 3.5814 Å, c = 30.0677 Å
α = 90.00°, β = 90.00°, γ = 120.00°
Closest atoms and distances in Å follow each position.
Fractional coordinates of all 12 atoms:
Ba 0.0000 0.0000 0.0000  6 Ba 3.58, 6 Pb 3.67
Ba 0.3333 0.6667 0.6667  6 Ba 3.58, 6 Pb 3.67
Ba 0.6667 0.3333 0.3333  6 Ba 3.58, 6 Pb 3.67
Re 0.0000 0.0000 0.5000  6 Pb 2.87
Re 0.3333 0.6667 0.1667  6 Pb 2.87
Re 0.6667 0.3333 0.8333  6 Pb 2.87
Pb 0.0000 0.0000 0.2326  3 Re 2.87
Pb 0.0000 0.0000 0.7674  3 Re 2.87
Pb 0.3333 0.6667 0.4340  3 Re 2.87
Pb 0.3333 0.6667 0.8993  3 Re 2.87
Pb 0.6667 0.3333 0.1007  3 Re 2.87
Pb 0.6667 0.3333 0.5660  3 Re 2.87



The following is a DFT calculation (GGA-PBE) of LaPm5Dy3 after structural relaxation.

Output
* energy relative to the elements: 0.26 eV per atom
* E: -0.32754 Ry per atom
* energy above the lowest structure with this stoichiometry: 0.094 eV/atom

a = 10.2121 Å, b = 10.2121 Å, c = 10.2121 Å
α = 129.92°, β = 129.92°, γ = 73.53°
Closest atoms and distances in Å follow each position.
Fractional coordinates of all 18 atoms:
La 0.2500 0.7500 0.5000  4 Pm 3.02
La 0.7500 0.2500 0.5000  4 Pm 3.02
Pm 0.0000 0.0000 0.0000  4 Dy 3.43
Pm 0.0582 0.5582 0.8934  1 La 3.02, 1 Dy 3.16
Pm 0.1647 0.0582 0.5000  1 La 3.02, 1 Dy 3.16
Pm 0.3353 0.8353 0.8934  1 La 3.02, 1 Dy 3.16
Pm 0.4418 0.3353 0.5000  1 La 3.02, 1 Dy 3.16
Pm 0.5000 0.5000 0.0000  4 Dy 3.43
Pm 0.5582 0.6647 0.5000  1 La 3.02, 1 Dy 3.16
Pm 0.6647 0.1647 0.1066  1 La 3.02, 1 Dy 3.16
Pm 0.8353 0.9418 0.5000  1 La 3.02, 1 Dy 3.16
Pm 0.9418 0.4418 0.1066  1 La 3.02, 1 Dy 3.16
Dy 0.1235 0.3765 0.5000  1 Dy 3.02, 2 Pm 3.16
Dy 0.2500 0.2500 0.0000  8 Pm 3.62
Dy 0.3765 0.8765 0.2531  1 Dy 3.02, 2 Pm 3.16
Dy 0.6235 0.1235 0.7469  1 Dy 3.02, 2 Pm 3.16
Dy 0.7500 0.7500 0.0000  8 Pm 3.62
Dy 0.8765 0.6235 0.5000  1 Dy 3.02, 2 Pm 3.16



The following is a DFT calculation (GGA-PBE) of Rb4Pa3TaN8 after structural relaxation.

Output
* energy relative to the elements, uncorrected: -1012 meV per atom
* E: -0.58340 Ry per atom

a = 7.8654 Å, b = 7.8654 Å, c = 7.8654 Å
α = 53.10°, β = 53.10°, γ = 53.10°
Closest atoms and distances in Å follow each position.
Fractional coordinates of all 16 atoms:
Rb 0.0000 0.0000 0.0000  6 N 3.15, 6 Rb 3.52
Rb 0.0000 0.5000 0.5000  6 N 3.05-3.09
Rb 0.5000 0.0000 0.5000  6 N 3.05-3.09
Rb 0.5000 0.5000 0.0000  6 N 3.05-3.09
Pa 0.0000 0.0000 0.5000  6 N 2.28-2.33
Pa 0.0000 0.5000 0.0000  6 N 2.28-2.33
Pa 0.5000 0.0000 0.0000  6 N 2.28-2.33
Ta 0.5000 0.5000 0.5000  6 N 2.19
N 0.2181 0.2181 0.2181  3 Pa 2.28
N 0.2347 0.7101 0.7101  1 Ta 2.19, 2 Pa 2.33
N 0.2899 0.2899 0.7653  1 Ta 2.19, 2 Pa 2.33
N 0.2899 0.7653 0.2899  1 Ta 2.19, 2 Pa 2.33
N 0.7101 0.2347 0.7101  1 Ta 2.19, 2 Pa 2.33
N 0.7101 0.7101 0.2347  1 Ta 2.19, 2 Pa 2.33
N 0.7653 0.2899 0.2899  1 Ta 2.19, 2 Pa 2.33
N 0.7819 0.7819 0.7819  3 Pa 2.28